# SbAs2BrCl (PBE-GGA, relaxed)
data_SbAs2BrCl
_chemical_formula_sum 'Sb1 As2 Br1 Cl1'
_symmetry_space_group_name_H-M 'P 1'
_symmetry_Int_Tables_number 1
_symmetry_space_group_name_Hall 'P 1'
_cell_length_a 5.474
_cell_length_b 5.474
_cell_length_c 5.462
_cell_angle_alpha 90.00
_cell_angle_beta 90.00
_cell_angle_gamma 90.00
loop_
_atom_site_label
_atom_site_type_symbol
_atom_site_fract_x
_atom_site_fract_y
_atom_site_fract_z
Sb1 Sb 0.000 0.000 0.000
As1 As 0.000 0.500 0.000
As2 As 0.500 0.000 0.000
Br1 Br 0.000 0.000 0.500
Cl1 Cl 0.500 0.500 0.500
# - ΔE to the lowest computed polymorph (meV per atom) = 0
# - raw formation energy (meV/atom) = 613.7
# - density of states at the Fermi level (states/eV/cell) = 5.08
# - electronic total energy (eV per atom) = -2.7745


# SbAs2BrCl (PBE-GGA, relaxed)
data_SbAs2BrCl
_chemical_formula_sum 'Sb1 As2 Br1 Cl1'
_symmetry_space_group_name_H-M 'P 1'
_symmetry_Int_Tables_number 1
_symmetry_space_group_name_Hall 'P 1'
_cell_length_a 5.094
_cell_length_b 5.094
_cell_length_c 4.982
_cell_angle_alpha 90.00
_cell_angle_beta 90.00
_cell_angle_gamma 90.00
loop_
_atom_site_label
_atom_site_type_symbol
_atom_site_fract_x
_atom_site_fract_y
_atom_site_fract_z
Sb1 Sb 0.000 0.000 0.000
As1 As 0.000 0.500 0.500
As2 As 0.500 0.000 0.500
Br1 Br 0.500 0.500 0.000
Cl1 Cl 0.500 0.500 0.500
# - ΔE to the lowest computed polymorph (meV per atom) = 245
# - raw formation energy (meV/atom) = 858.6
# - density of states at the Fermi level (states/eV/cell) = 3.13
# - electronic total energy (eV per atom) = -2.5296


# SbAsBr2Cl (PBE-GGA, relaxed)
data_SbAsBr2Cl
_chemical_formula_sum 'Sb1 As1 Br2 Cl1'
_symmetry_space_group_name_H-M 'P 1'
_symmetry_Int_Tables_number 1
_symmetry_space_group_name_Hall 'P 1'
_cell_length_a 5.410
_cell_length_b 5.410
_cell_length_c 5.800
_cell_angle_alpha 90.00
_cell_angle_beta 90.00
_cell_angle_gamma 90.00
loop_
_atom_site_label
_atom_site_type_symbol
_atom_site_fract_x
_atom_site_fract_y
_atom_site_fract_z
Sb1 Sb 0.000 0.000 0.000
As1 As 0.000 0.000 0.500
Br1 Br 0.000 0.500 0.000
Br2 Br 0.500 0.000 0.000
Cl1 Cl 0.500 0.500 0.500
# - ΔE to the lowest computed polymorph (meV per atom) = 0
# - raw formation energy (meV/atom) = 227.3
# - density of states at the Fermi level (states/eV/cell) = 3.40
# - electronic total energy (eV per atom) = -2.5656


# SbAsBr2Cl (PBE-GGA, relaxed)
data_SbAsBr2Cl
_chemical_formula_sum 'Sb1 As1 Br2 Cl1'
_symmetry_space_group_name_H-M 'P 1'
_symmetry_Int_Tables_number 1
_symmetry_space_group_name_Hall 'P 1'
_cell_length_a 5.072
_cell_length_b 5.072
_cell_length_c 5.453
_cell_angle_alpha 90.00
_cell_angle_beta 90.00
_cell_angle_gamma 90.00
loop_
_atom_site_label
_atom_site_type_symbol
_atom_site_fract_x
_atom_site_fract_y
_atom_site_fract_z
Sb1 Sb 0.000 0.000 0.000
As1 As 0.500 0.500 0.000
Br1 Br 0.000 0.500 0.500
Br2 Br 0.500 0.000 0.500
Cl1 Cl 0.500 0.500 0.500
# - ΔE to the lowest computed polymorph (meV per atom) = 485
# - raw formation energy (meV/atom) = 712.7
# - density of states at the Fermi level (states/eV/cell) = 2.51
# - electronic total energy (eV per atom) = -2.0801


# ScAsBr2Cl (PBE-GGA, relaxed)
data_ScAsBr2Cl
_chemical_formula_sum 'Sc1 As1 Br2 Cl1'
_symmetry_space_group_name_H-M 'P 1'
_symmetry_Int_Tables_number 1
_symmetry_space_group_name_Hall 'P 1'
_cell_length_a 5.129
_cell_length_b 5.129
_cell_length_c 5.207
_cell_angle_alpha 90.00
_cell_angle_beta 90.00
_cell_angle_gamma 90.00
loop_
_atom_site_label
_atom_site_type_symbol
_atom_site_fract_x
_atom_site_fract_y
_atom_site_fract_z
Sc1 Sc 0.000 0.000 0.000
As1 As 0.500 0.500 0.000
Br1 Br 0.000 0.500 0.500
Br2 Br 0.500 0.000 0.500
Cl1 Cl 0.500 0.500 0.500
# - ΔE to the lowest computed polymorph (meV per atom) = 976
# - raw formation energy (meV/atom) = 412.1
# - density of states at the Fermi level (states/eV/cell) = 4.85
# - electronic total energy (eV per atom) = -2.8226


# ScAsBr2Cl (PBE-GGA, relaxed)
data_ScAsBr2Cl
_chemical_formula_sum 'Sc1 As1 Br2 Cl1'
_symmetry_space_group_name_H-M 'P 1'
_symmetry_Int_Tables_number 1
_symmetry_space_group_name_Hall 'P 1'
_cell_length_a 5.447
_cell_length_b 5.447
_cell_length_c 5.003
_cell_angle_alpha 90.00
_cell_angle_beta 90.00
_cell_angle_gamma 90.00
loop_
_atom_site_label
_atom_site_type_symbol
_atom_site_fract_x
_atom_site_fract_y
_atom_site_fract_z
Sc1 Sc 0.000 0.000 0.000
As1 As 0.500 0.500 0.500
Br1 Br 0.000 0.500 0.500
Br2 Br 0.500 0.000 0.500
Cl1 Cl 0.500 0.500 0.000
# - ΔE to the lowest computed polymorph (meV per atom) = 579
# - raw formation energy (meV/atom) = 15.0
# - density of states at the Fermi level (states/eV/cell) = 9.73
# - electronic total energy (eV per atom) = -3.2197


# ScAsBr2Cl (PBE-GGA, relaxed)
data_ScAsBr2Cl
_chemical_formula_sum 'Sc1 As1 Br2 Cl1'
_symmetry_space_group_name_H-M 'P 1'
_symmetry_Int_Tables_number 1
_symmetry_space_group_name_Hall 'P 1'
_cell_length_a 5.088
_cell_length_b 5.088
_cell_length_c 5.753
_cell_angle_alpha 90.00
_cell_angle_beta 90.00
_cell_angle_gamma 90.00
loop_
_atom_site_label
_atom_site_type_symbol
_atom_site_fract_x
_atom_site_fract_y
_atom_site_fract_z
Sc1 Sc 0.000 0.000 0.000
As1 As 0.000 0.000 0.500
Br1 Br 0.000 0.500 0.000
Br2 Br 0.500 0.000 0.000
Cl1 Cl 0.500 0.500 0.500
# - ΔE to the lowest computed polymorph (meV per atom) = 0
# - raw formation energy (meV/atom) = -564.1
# - density of states at the Fermi level (states/eV/cell) = 2.27
# - electronic total energy (eV per atom) = -3.7988


# SiAsBr2Cl (PBE-GGA, relaxed)
data_SiAsBr2Cl
_chemical_formula_sum 'Si1 As1 Br2 Cl1'
_symmetry_space_group_name_H-M 'P 1'
_symmetry_Int_Tables_number 1
_symmetry_space_group_name_Hall 'P 1'
_cell_length_a 4.919
_cell_length_b 4.919
_cell_length_c 5.305
_cell_angle_alpha 90.00
_cell_angle_beta 90.00
_cell_angle_gamma 90.00
loop_
_atom_site_label
_atom_site_type_symbol
_atom_site_fract_x
_atom_site_fract_y
_atom_site_fract_z
Si1 Si 0.000 0.000 0.000
As1 As 0.000 0.000 0.500
Br1 Br 0.000 0.500 0.000
Br2 Br 0.500 0.000 0.000
Cl1 Cl 0.500 0.500 0.500
# - ΔE to the lowest computed polymorph (meV per atom) = 0
# - raw formation energy (meV/atom) = 252.8
# - density of states at the Fermi level (states/eV/cell) = 2.65
# - electronic total energy (eV per atom) = -2.8002


# SiAs2BrCl (PBE-GGA, relaxed)
data_SiAs2BrCl
_chemical_formula_sum 'Si1 As2 Br1 Cl1'
_symmetry_space_group_name_H-M 'P 1'
_symmetry_Int_Tables_number 1
_symmetry_space_group_name_Hall 'P 1'
_cell_length_a 4.919
_cell_length_b 4.919
_cell_length_c 4.991
_cell_angle_alpha 90.00
_cell_angle_beta 90.00
_cell_angle_gamma 90.00
loop_
_atom_site_label
_atom_site_type_symbol
_atom_site_fract_x
_atom_site_fract_y
_atom_site_fract_z
Si1 Si 0.000 0.000 0.000
As1 As 0.000 0.500 0.000
As2 As 0.500 0.000 0.000
Br1 Br 0.000 0.000 0.500
Cl1 Cl 0.500 0.500 0.500
# - ΔE to the lowest computed polymorph (meV per atom) = 0
# - raw formation energy (meV/atom) = 503.3
# - density of states at the Fermi level (states/eV/cell) = 4.09
# - electronic total energy (eV per atom) = -3.1451


# SiAs2BrCl (PBE-GGA, relaxed)
data_SiAs2BrCl
_chemical_formula_sum 'Si1 As2 Br1 Cl1'
_symmetry_space_group_name_H-M 'P 1'
_symmetry_Int_Tables_number 1
_symmetry_space_group_name_Hall 'P 1'
_cell_length_a 4.708
_cell_length_b 4.708
_cell_length_c 6.298
_cell_angle_alpha 90.00
_cell_angle_beta 90.00
_cell_angle_gamma 90.00
loop_
_atom_site_label
_atom_site_type_symbol
_atom_site_fract_x
_atom_site_fract_y
_atom_site_fract_z
Si1 Si 0.000 0.000 0.000
As1 As 0.000 0.500 0.500
As2 As 0.500 0.000 0.500
Br1 Br 0.500 0.500 0.000
Cl1 Cl 0.500 0.500 0.500
# - ΔE to the lowest computed polymorph (meV per atom) = 583
# - raw formation energy (meV/atom) = 1086.5
# - density of states at the Fermi level (states/eV/cell) = 3.43
# - electronic total energy (eV per atom) = -2.5618